No. 1
DFT (PBEsol) results for SnTe3O8 after structural relaxation.

abc: 9.6119 9.6119 9.6119
angles: 109.47 109.47 109.47
Positions (direct):
Sn 0.0000 0.0000 0.0000
Sn 0.0000 0.5000 0.5000
Sn 0.5000 0.0000 0.5000
Sn 0.5000 0.5000 0.0000
Te 0.0387 0.2887 0.7500
Te 0.2113 0.2500 0.4613
Te 0.2500 0.4613 0.2113
Te 0.2500 0.9613 0.7113
Te 0.2887 0.7500 0.0387
Te 0.4613 0.2113 0.2500
Te 0.5387 0.7887 0.7500
Te 0.7113 0.2500 0.9613
Te 0.7500 0.0387 0.2887
Te 0.7500 0.5387 0.7887
Te 0.7887 0.7500 0.5387
Te 0.9613 0.7113 0.2500
O 0.0000 0.1657 0.5000
O 0.0000 0.8343 0.5000
O 0.0311 0.0647 0.2398
O 0.0336 0.4689 0.7087
O 0.0647 0.2398 0.0311
O 0.1657 0.5000 0.0000
O 0.1751 0.4353 0.4664
O 0.2087 0.7398 0.6751
O 0.2398 0.0311 0.0647
O 0.2602 0.3249 0.7913
O 0.2913 0.9664 0.5311
O 0.3249 0.7913 0.2602
O 0.3343 0.3343 0.3343
O 0.4353 0.4664 0.1751
O 0.4664 0.1751 0.4353
O 0.4689 0.7087 0.0336
O 0.5000 0.0000 0.1657
O 0.5000 0.0000 0.8343
O 0.5311 0.2913 0.9664
O 0.5336 0.8249 0.5647
O 0.5647 0.5336 0.8249
O 0.6657 0.6657 0.6657
O 0.6751 0.2087 0.7398
O 0.7087 0.0336 0.4689
O 0.7398 0.6751 0.2087
O 0.7602 0.9689 0.9353
O 0.7913 0.2602 0.3249
O 0.8249 0.5647 0.5336
O 0.8343 0.5000 0.0000
O 0.9353 0.7602 0.9689
O 0.9664 0.5311 0.2913
O 0.9689 0.9353 0.7602

**Total DFT energy (no corrections)**: -5.949 eV/atom
**Uncorrected formation energy**: -1.213 eV/atom

No. 2
DFT (PBEsol) results for ZrAl2Co2 after structural relaxation.

abc: 7.0226 7.0226 2.7817
angles: 90.00 90.00 90.00
Positions (direct):
Zr 0.0000 0.0000 0.0000
Zr 0.5000 0.5000 0.0000
Al 0.1437 0.3563 0.5000
Al 0.3563 0.8563 0.5000
Al 0.6437 0.1437 0.5000
Al 0.8563 0.6437 0.5000
Co 0.1495 0.6495 0.0000
Co 0.3505 0.1495 0.0000
Co 0.6495 0.8505 0.0000
Co 0.8505 0.3505 0.0000

**Total DFT energy (no corrections)**: -6.969 eV/atom
**E above lowest polymorph**: 0.000 kcal/mol of atoms
**ΔE_f**: -0.419 eV per atom

No. 3
DFT (PBEsol) results for YScSn2 after structural relaxation.

abc: 5.1533 5.1533 5.1533
angles: 60.00 60.00 60.00
Positions (direct):
Y 0.0000 0.0000 0.0000
Sc 0.5000 0.5000 0.5000
Sn 0.2500 0.2500 0.2500
Sn 0.7500 0.7500 0.7500

**Total DFT energy (no corrections)**: -6.040 eV/atom
**ΔE_f**: -0.553 eV per atom

No. 4
DFT (PBEsol) results for Ca2SeBr after structural relaxation.

abc: 7.1622 7.1622 7.1622
angles: 33.91 33.91 33.91
Positions (direct):
Ca 0.2426 0.2426 0.2426
Ca 0.7574 0.7574 0.7574
Se 0.5000 0.5000 0.5000
Br 0.0000 0.0000 0.0000

**Total DFT energy (no corrections)**: -4.196 eV/atom
**Uncorrected formation energy**: -1.700 eV/atom
**E above lowest polymorph**: 0.000 kcal/mol of atoms